Sc3AsI | PBEsol | relaxed

uncorrected formation energy: -295 meV/atom
E: -28.16 eV for the cell shown
space-group type: Pm-3m

Cell lengths 5.062, 5.062, 5.062 Å; angles 90.00, 90.00, 90.00 degrees
Atoms (fractional coordinates):
Sc  0.000  0.000  0.500
Sc  0.000  0.500  0.000
Sc  0.500  0.000  0.000
As  0.000  0.000  0.000
I  0.500  0.500  0.500